Below is an optimized crystal structure of Li2NiPdS, with properties calculated at the GGA-PBE level.

VASP energy   -3.4286 eV per atom
DOS at the Fermi energy   4.07 states/eV/cell

Cell lengths 4.471, 4.666, 4.471 Å; angles 90.00, 90.00, 90.00 degrees
Sites, in units of the cell vectors:
Ni  0.000  0.500  0.000
S  0.500  0.500  0.500
Pd  0.000  0.000  0.000
Li  0.000  0.000  0.500
Li  0.500  0.000  0.000